[1]
VASP calculation (GGA-PBEsol) on a geometry-optimized YCdSe2 structure.

The calculation puts the calculated total energy at -71.2 eV for the cell shown.

The structure belongs to space group F-43m (No. 216); the cell edges are 7.089, 7.089 and 7.089 Å and the angles 90.00°, 90.00° and 90.00°. The asymmetric unit holds Y at (0.000, 0.000, 0.000), Cd at (0.250, 0.250, 0.250), Se at (0.000, 0.000, 0.500) and Se at (0.250, 0.250, 0.750).

=====

[2]
VASP calculation (GGA-PBEsol) on a geometry-optimized NdGdIr2 structure.

The formation energy comes out at -0.5820 eV per atom.

The structure belongs to space group Fm-3m (No. 225); the cell edges are 6.903, 6.903 and 6.903 Å and the angles 90.00°, 90.00° and 90.00°. The asymmetric unit holds Nd at (0.000, 0.000, 0.000), Gd at (0.000, 0.000, 0.500) and Ir at (0.250, 0.250, 0.250).

=====

[3]
VASP calculation (GGA-PBEsol) on a geometry-optimized Y2Cd structure.

The formation energy comes out at -0.1076 eV per atom.

The structure belongs to space group P-3m1 (No. 164); the cell edges are 5.1559, 5.1559 and 3.4949 Å and the angles 90.00°, 90.00° and 120.00°. The asymmetric unit holds Y at (0.3333, 0.6667, 0.2160) and Cd at (0.0000, 0.0000, 0.5000).

=====

[4]
VASP calculation (GGA-PBEsol) on a geometry-optimized MoPt2W structure.

The calculation puts the energy above the most stable polymorph in this dataset at 100 meV per atom. The formation energy comes out at -0.2161 eV per atom.

The structure belongs to space group P4mm (No. 99); the cell edges are 2.723, 2.723 and 8.186 Å and the angles 90.00°, 90.00° and 90.00°. The asymmetric unit holds Mo at (0.000, 0.000, 0.000), Pt at (0.000, 0.000, 0.498), Pt at (0.500, 0.500, 0.232) and W at (0.500, 0.500, 0.732).

=====

[5]
VASP calculation (GGA-PBEsol) on a geometry-optimized CuIr3 structure.

The formation energy comes out at 0.0772 eV per atom.

The structure belongs to space group P4/mmm (No. 123); the cell edges are 2.709, 2.709 and 7.340 Å and the angles 90.00°, 90.00° and 90.00°. The asymmetric unit holds Cu at (0.000, 0.000, 0.000), Ir at (0.000, 0.000, 0.500) and Ir at (0.500, 0.500, 0.246).

=====

[6]
VASP calculation (GGA-PBEsol) on a geometry-optimized Mn2ZnSb structure.

The calculation puts the energy above the most stable polymorph in this dataset at 68 meV per atom.

The structure belongs to space group P4mm (No. 99); the cell edges are 2.897, 2.897 and 7.638 Å and the angles 90.00°, 90.00° and 90.00°. The asymmetric unit holds Mn at (0.000, 0.000, 0.000), Mn at (0.500, 0.500, 0.162), Zn at (0.500, 0.500, 0.799) and Sb at (0.000, 0.000, 0.415).

=====

[7]
VASP calculation (GGA-PBEsol) on a geometry-optimized MgCu2Tc structure.

The formation energy comes out at 0.2003 eV per atom.

The structure belongs to space group Pm (No. 6); the cell edges are 2.546, 4.232 and 5.092 Å and the angles 90.00°, 103.76° and 90.00°. The asymmetric unit holds Mg at (0.000, 0.000, 0.000), Cu at (0.269, 0.000, 0.513), Cu at (0.390, 0.500, 0.786) and Tc at (0.668, 0.500, 0.317).

=====

[8]
VASP calculation (GGA-PBEsol) on a geometry-optimized KNaS2 structure.

The calculation puts the energy above the most stable polymorph in this dataset at 532 meV per atom.

The structure belongs to space group R-3m (No. 166, hexagonal axes); the cell edges are 3.4895, 3.4895 and 29.3014 Å and the angles 90.00°, 90.00° and 120.00°. The asymmetric unit holds K at (0.0000, 0.0000, 0.0000), Na at (0.0000, 0.0000, 0.5000) and S at (0.0000, 0.0000, 0.4133).

=====

[9]
VASP calculation (GGA-PBEsol) on a geometry-optimized MgOsW2 structure.

The formation energy comes out at 0.3646 eV per atom.

The structure belongs to space group C2/m (No. 12); the cell edges are 5.315, 8.882 and 2.712 Å and the angles 90.00°, 106.75° and 90.00°. The asymmetric unit holds Mg at (0.000, 0.000, 0.000), Os at (0.000, 0.500, 0.000) and W at (0.250, 0.250, 0.500).

=====

[10]
VASP calculation (GGA-PBEsol) on a geometry-optimized Sn2HgRu2 structure.

The formation energy comes out at 0.3341 eV per atom.

The structure belongs to space group I4/mmm (No. 139); the cell edges are 4.150, 4.150 and 11.449 Å and the angles 90.00°, 90.00° and 90.00°. The asymmetric unit holds Sn at (0.000, 0.500, 0.250), Hg at (0.000, 0.000, 0.000) and Ru at (0.000, 0.000, 0.393).

=====

[11]
VASP calculation (GGA-PBEsol) on a geometry-optimized SnW2O8 structure.

The calculation puts the calculated total energy at -190.2 eV for the cell shown.

The structure belongs to space group P2/c (No. 13); the cell edges are 4.956, 5.822 and 10.642 Å and the angles 90.00°, 117.56° and 90.00°. The asymmetric unit holds Sn at (0.000, 0.168, 0.250), W at (0.223, 0.325, 0.987), O at (0.173, 0.395, 0.612), O at (0.221, 0.155, 0.130), O at (0.255, 0.102, 0.878) and O at (0.319, 0.396, 0.395).

=====

[12]
VASP calculation (GGA-PBEsol) on a geometry-optimized CaSnO3 structure.

The calculation puts the calculated total energy at -134.7 eV for the cell shown.

The structure belongs to space group Pnma (No. 62); the cell edges are 5.692, 7.905 and 5.513 Å and the angles 90.00°, 90.00° and 90.00°. The asymmetric unit holds Ca at (0.055, 0.250, 0.015), Sn at (0.000, 0.000, 0.500), O at (0.042, 0.750, 0.393) and O at (0.201, 0.556, 0.803).